# 1
Here is a relaxed structure of CsZnAg2 from Alexandria via LeMat-Bulk. Energies are from PBE-GGA.

Computed properties:
E in eV per atom: -1.960
Size of the total moment in μB per formula unit: 0.00
ΔE_f in eV per atom: -0.003

The structure in CIF format:
```
data_CsZnAg2
_chemical_formula_sum 'Cs2 Zn2 Ag4'
_symmetry_space_group_name_H-M 'P 1'
_symmetry_Int_Tables_number 1
_symmetry_space_group_name_Hall 'P 1'
_cell_length_a 4.686
_cell_length_b 6.987
_cell_length_c 7.814
_cell_angle_alpha 90.00
_cell_angle_beta 90.00
_cell_angle_gamma 90.00
loop_
_atom_site_label
_atom_site_fract_x
_atom_site_fract_y
_atom_site_fract_z
_atom_site_occupancy
Zn1 0.000 0.427 0.000 1
Ag1 0.000 0.580 0.321 1
Ag2 0.500 0.420 0.821 1
Ag3 0.500 0.420 0.179 1
Zn2 0.500 0.573 0.500 1
Ag4 0.000 0.580 0.679 1
Cs1 0.500 0.899 0.000 1
Cs2 0.000 0.101 0.500 1
```

---

# 2
Here is a relaxed structure of AlAg3Pd6 from Alexandria via LeMat-Bulk. Energies are from PBE-GGA.

Computed properties:
E in eV per atom: -4.614
Size of the total moment in μB per formula unit: 0.00
ΔE_f in eV per atom: -0.269

The structure in CIF format:
```
data_AlAg3Pd6
_chemical_formula_sum 'Al2 Ag6 Pd12'
_symmetry_space_group_name_H-M 'P 1'
_symmetry_Int_Tables_number 1
_symmetry_space_group_name_Hall 'P 1'
_cell_length_a 4.090
_cell_length_b 8.659
_cell_length_c 9.023
_cell_angle_alpha 93.53
_cell_angle_beta 90.00
_cell_angle_gamma 90.00
loop_
_atom_site_label
_atom_site_fract_x
_atom_site_fract_y
_atom_site_fract_z
_atom_site_occupancy
Al1 0.750 0.063 0.378 1
Pd1 0.250 0.656 0.703 1
Al2 0.250 0.937 0.622 1
Ag1 0.750 0.445 0.596 1
Ag2 0.750 0.657 0.211 1
Ag3 0.250 0.753 0.012 1
Pd2 0.750 0.119 0.673 1
Ag4 0.750 0.247 0.988 1
Pd3 0.250 0.881 0.327 1
Pd4 0.250 0.451 0.098 1
Pd5 0.750 0.956 0.109 1
Pd6 0.750 0.845 0.811 1
Pd7 0.750 0.549 0.902 1
Pd8 0.250 0.217 0.488 1
Pd9 0.750 0.783 0.512 1
Ag5 0.250 0.343 0.789 1
Ag6 0.250 0.555 0.404 1
Pd10 0.250 0.044 0.891 1
Pd11 0.250 0.155 0.189 1
Pd12 0.750 0.344 0.297 1
```

---

# 3
Here is a relaxed structure of GdAlTl2 from Alexandria via LeMat-Bulk. Energies are from PBE-GGA.

Computed properties:
E in eV per atom: -5.729
Size of the total moment in μB per formula unit: 6.95
ΔE_f in eV per atom: -0.090

The structure in CIF format:
```
data_GdAlTl2
_chemical_formula_sum 'Gd1 Al1 Tl2'
_symmetry_space_group_name_H-M 'P 1'
_symmetry_Int_Tables_number 1
_symmetry_space_group_name_Hall 'P 1'
_cell_length_a 4.746
_cell_length_b 4.746
_cell_length_c 6.019
_cell_angle_alpha 66.78
_cell_angle_beta 66.78
_cell_angle_gamma 60.00
loop_
_atom_site_label
_atom_site_fract_x
_atom_site_fract_y
_atom_site_fract_z
_atom_site_occupancy
Al1 0.500 0.500 0.500 1
Tl1 0.765 0.765 0.705 1
Gd1 0.000 0.000 0.000 1
Tl2 0.235 0.235 0.295 1
```

---

# 4
Here is a relaxed structure of Rb3In2Te4 from Alexandria via LeMat-Bulk. Energies are from PBE-GGA.

Computed properties:
E in eV per atom: -3.059
Size of the total moment in μB per formula unit: 0.00
Uncorrected formation energy in meV per atom: -732

The structure in CIF format:
```
data_Rb3In2Te4
_chemical_formula_sum 'Rb6 In4 Te8'
_symmetry_space_group_name_H-M 'P 1'
_symmetry_Int_Tables_number 1
_symmetry_space_group_name_Hall 'P 1'
_cell_length_a 9.009
_cell_length_b 9.718
_cell_length_c 9.718
_cell_angle_alpha 78.69
_cell_angle_beta 94.81
_cell_angle_gamma 94.81
loop_
_atom_site_label
_atom_site_fract_x
_atom_site_fract_y
_atom_site_fract_z
_atom_site_occupancy
Te1 0.510 0.295 0.928 1
Te2 0.899 0.400 0.267 1
Rb1 0.392 0.990 0.738 1
Te3 0.399 0.267 0.400 1
Rb2 0.108 0.262 0.010 1
Te4 0.490 0.705 0.072 1
Te5 0.010 0.928 0.295 1
Te6 0.101 0.600 0.733 1
Rb3 0.250 0.613 0.387 1
In1 0.078 0.179 0.419 1
Rb4 0.892 0.738 0.990 1
Te7 0.601 0.733 0.600 1
In2 0.922 0.821 0.581 1
Rb5 0.608 0.010 0.262 1
Te8 0.990 0.072 0.705 1
Rb6 0.750 0.387 0.613 1
In3 0.422 0.581 0.821 1
In4 0.578 0.419 0.179 1
```